Sr2CoI | Alexandria via LeMat-Bulk | meta-GGA SCAN | PBEsol geometry; V = 258.1 Å³/cell; total energy = -196.710 eV/cell; ΔE_f (raw) = 0.06 eV per atom; calculated density = 4.65 g/cm³; N(E_F) = 1.98 states/eV/f.u.; crystal system = tetragonal
1.0
6.950 0.079 0.129
-2.559 6.462 -0.129
-2.559 -3.027 5.711
I Sr Co
2 4 2
Cartesian
0.000 0.000 0.000
0.916 4.130 1.396
4.751 3.323 0.762
-1.640 -0.668 3.553
1.835 1.140 2.529
-1.282 3.233 4.577
-2.559 1.718 2.791
0.916 -0.615 4.315

***

InP2H | Alexandria via LeMat-Bulk | meta-GGA SCAN | PBEsol geometry; V = 60.4 Å³/cell; total energy = -53.707 eV/cell; calculated density = 4.89 g/cm³; N(E_F) = 2.49 states/eV/f.u.; crystal system = cubic
1.0
-3.390 2.114 -1.853
-3.906 -2.000 -0.368
-3.392 1.321 2.479
P In H
2 1 1
Cartesian
-2.672 0.359 0.064
-8.016 1.076 0.193
-5.344 0.717 0.129
0.000 0.000 0.000

***

NaGd3Ti2Sb2O14 | Alexandria via LeMat-Bulk | meta-GGA SCAN | PBEsol geometry; V = 541.0 Å³/cell; total energy = -877.861 eV/cell; ΔE_f (raw) = -2.93 eV per atom; calculated density = 6.50 g/cm³; energy above the lowest structure with this stoichiometry = 0.0 meV/atom; N(E_F) = 0.00 states/eV/f.u.; crystal system = monoclinic
1.0
7.240 0.000 0.000
0.000 7.277 -0.003
0.000 0.070 10.267
Na Gd Ti Sb O
2 6 4 4 28
Cartesian
3.620 0.035 5.134
3.620 3.639 -0.002
5.308 5.476 2.564
1.932 1.872 7.700
5.406 1.837 2.566
1.833 5.511 7.698
0.000 3.639 -0.002
0.000 0.035 5.134
0.000 0.000 0.000
0.000 3.674 5.132
5.513 1.872 7.700
1.727 5.476 2.564
5.459 5.511 7.698
3.620 3.674 5.132
1.780 1.837 2.566
3.620 0.000 0.000
5.494 3.658 1.341
6.865 1.493 9.014
5.567 0.054 6.955
1.745 0.055 6.476
5.438 7.279 0.796
6.922 5.872 9.004
3.251 5.043 3.769
6.922 5.149 6.392
0.374 5.097 3.878
5.438 3.673 4.333
1.802 3.675 5.932
1.673 3.658 1.820
6.865 2.250 6.386
0.318 2.198 3.872
3.300 2.195 3.815
0.318 1.475 1.260
3.300 1.479 1.317
3.989 1.439 8.905
1.673 7.293 3.309
1.802 0.069 9.468
0.374 5.854 1.250
3.940 5.869 8.947
3.251 5.908 1.359
3.940 5.152 6.449
1.745 3.689 8.923
5.567 3.690 8.445
3.989 2.304 6.495
5.494 7.293 3.788

***

AlAu3 | Alexandria via LeMat-Bulk | meta-GGA SCAN | PBEsol geometry; V = 271.9 Å³/cell; energy of formation from the pure elements = -0.340 eV per atom; total energy = -866.326 eV/cell; calculated density = 15.09 g/cm³; N(E_F) = 0.95 states/eV/f.u.; crystal system = orthorhombic
1.0
-4.739 -0.467 1.825
-1.561 -4.454 -5.194
2.241 -5.831 4.327
Al Au
4 12
Cartesian
-4.149 -4.351 -0.378
-1.701 -4.985 4.172
-2.358 -5.767 -3.215
0.090 -6.401 1.335
-4.125 -2.649 1.903
-2.052 -7.620 0.802
-2.007 -3.132 0.155
0.066 -8.103 -0.946
-1.864 -3.251 -2.654
0.540 -6.224 3.915
-3.735 -6.777 -1.289
-3.059 -5.252 1.941
-2.194 -7.501 3.611
-4.599 -4.528 -2.958
-0.324 -3.975 2.246
-1.000 -5.501 -0.984